No. 1
Computed, not measured: a geometry-optimized AgHPtRhS structure at the PBE level of DFT.

Output
SG: Cm, No. 8
Crystal system: monoclinic
DOS(E_F), states/eV per cell: 4.9
Total DFT energy (no corrections), eV per atom: -4.80
ΔE to the lowest computed polymorph, eV/atom: 0.0169

The structure in POSCAR format:
```
AgHPtRhS
1.0
5.5102 0.0000 0.0000
0.0000 3.2125 0.0000
-1.8182 0.0000 8.2923
Ag H Pt Rh S
2 2 2 2 2
Direct
0.0000 0.0000 0.0000
0.5000 0.5000 0.0000
0.4017 0.5000 0.7033
0.9017 0.0000 0.7033
0.0744 0.5000 0.7292
0.5744 0.0000 0.7292
0.3215 0.5000 0.4595
0.8215 0.0000 0.4595
0.1054 0.0000 0.3059
0.6054 0.5000 0.3059
```


No. 2
Computed, not measured: a geometry-optimized AgHPtRhS structure at the PBE level of DFT.

Output
SG: Pm, No. 6
Crystal system: monoclinic
DOS(E_F), states/eV per cell: 2.8
Total DFT energy (no corrections), eV per atom: -4.74
ΔE to the lowest computed polymorph, eV/atom: 0.0825

The structure in POSCAR format:
```
AgHPtRhS
1.0
4.6938 0.0000 0.0000
0.0000 2.8853 0.0000
-1.0805 0.0000 5.9207
Ag H Pt Rh S
1 1 1 1 1
Direct
0.0000 0.0000 0.0000
0.7694 0.5000 0.3659
0.5744 0.0000 0.2746
0.4710 0.5000 0.8655
0.3454 0.0000 0.5843
```


No. 3
Computed, not measured: a geometry-optimized AgHPtRhS structure at the PBE level of DFT.

Output
SG: Cm, No. 8
Crystal system: monoclinic
DOS(E_F), states/eV per cell: 5.6
Total DFT energy (no corrections), eV per atom: -4.79
ΔE to the lowest computed polymorph, eV/atom: 0.0328

The structure in POSCAR format:
```
AgHPtRhS
1.0
5.4918 0.0000 0.0000
0.0000 3.1924 0.0000
-1.8092 0.0000 8.3141
Ag H Pt Rh S
2 2 2 2 2
Direct
0.0000 0.0000 0.0000
0.5000 0.5000 0.0000
0.4226 0.0000 0.2812
0.9226 0.5000 0.2812
0.2541 0.5000 0.2676
0.7541 0.0000 0.2676
0.1818 0.0000 0.5393
0.6818 0.5000 0.5393
0.3984 0.5000 0.6939
0.8984 0.0000 0.6939
```


No. 4
Computed, not measured: a geometry-optimized AgSbHPt2 structure at the PBE level of DFT.

Output
SG: P4/mmm, No. 123
Crystal system: tetragonal
DOS(E_F), states/eV per cell: 3.1
Total DFT energy (no corrections), eV per atom: -4.42

The structure in POSCAR format:
```
AgSbHPt2
1.0
4.1283 0.0000 0.0000
0.0000 4.1283 0.0000
0.0000 0.0000 4.4093
Ag Sb H Pt
1 1 1 2
Direct
0.0000 0.0000 0.0000
0.5000 0.5000 0.0000
0.0000 0.0000 0.5000
0.0000 0.5000 0.5000
0.5000 0.0000 0.5000
```


No. 5
Computed, not measured: a geometry-optimized Sc2AgHPt structure at the PBE level of DFT.

Output
SG: P4/mmm, No. 123
Crystal system: tetragonal
DOS(E_F), states/eV per cell: 3.1
Total DFT energy (no corrections), eV per atom: -5.60
ΔE to the lowest computed polymorph, eV/atom: 0.0000

The structure in POSCAR format:
```
Sc2AgHPt
1.0
4.6550 0.0000 0.0000
0.0000 4.6550 0.0000
0.0000 0.0000 3.6443
Sc Ag H Pt
2 1 1 1
Direct
0.0000 0.5000 0.0000
0.5000 0.0000 0.0000
0.0000 0.0000 0.5000
0.5000 0.5000 0.0000
0.5000 0.5000 0.5000
```


No. 6
Computed, not measured: a geometry-optimized Sc2AgHPt structure at the PBE level of DFT.

Output
SG: P4/mmm, No. 123
Crystal system: tetragonal
DOS(E_F), states/eV per cell: 3.6
Total DFT energy (no corrections), eV per atom: -5.56
ΔE to the lowest computed polymorph, eV/atom: 0.0347

The structure in POSCAR format:
```
Sc2AgHPt
1.0
4.4788 0.0000 0.0000
0.0000 4.4788 0.0000
0.0000 0.0000 3.8532
Sc Ag H Pt
2 1 1 1
Direct
0.0000 0.5000 0.0000
0.5000 0.0000 0.0000
0.0000 0.0000 0.5000
0.0000 0.0000 0.0000
0.5000 0.5000 0.5000
```


No. 7
Computed, not measured: a geometry-optimized SiAgHPt2 structure at the PBE level of DFT.

Output
SG: P4/mmm, No. 123
Crystal system: tetragonal
DOS(E_F), states/eV per cell: 4.8
Total DFT energy (no corrections), eV per atom: -2.96

The structure in POSCAR format:
```
SiAgHPt2
1.0
5.0494 0.0000 0.0000
0.0000 5.0494 0.0000
0.0000 0.0000 4.5661
Si Ag H Pt
1 1 1 2
Direct
0.0000 0.0000 0.0000
0.0000 0.0000 0.5000
0.5000 0.5000 0.0000
0.0000 0.5000 0.5000
0.5000 0.0000 0.5000
```


No. 8
Computed, not measured: a geometry-optimized AgSnHPt2 structure at the PBE level of DFT.

Output
SG: P4/mmm, No. 123
Crystal system: tetragonal
DOS(E_F), states/eV per cell: 1.8
Total DFT energy (no corrections), eV per atom: -4.50

The structure in POSCAR format:
```
AgSnHPt2
1.0
4.0939 0.0000 0.0000
0.0000 4.0939 0.0000
0.0000 0.0000 4.3615
Ag Sn H Pt
1 1 1 2
Direct
0.0000 0.0000 0.0000
0.5000 0.5000 0.0000
0.0000 0.0000 0.5000
0.0000 0.5000 0.5000
0.5000 0.0000 0.5000
```